1.
# MnSiBF2

A geometry-optimized MnSiBF2 structure (PBE+U, the Alexandria database).

Results
N(E_F): 0.82 states/eV/f.u.
DFT total energy: -4.9851 eV/atom
mass density: 3.6 g/cm3

Geometry as CIF:
```
data_MnSiBF2
_chemical_formula_sum 'Mn1 Si1 B1 F2'
_cell_length_a 3.681
_cell_length_b 3.681
_cell_length_c 4.531
_cell_angle_alpha 90.00
_cell_angle_beta 90.00
_cell_angle_gamma 90.00
_space_group_name_H-M_alt 'P 4/m m m'
_space_group_IT_number 123
_space_group_name_Hall '-P 4 2'
loop_
_atom_site_label
_atom_site_fract_x
_atom_site_fract_y
_atom_site_fract_z
Mn1 0.000 0.000 0.000
Si1 0.500 0.500 0.000
B1 0.500 0.500 0.500
F1 0.000 0.500 0.500
```



2.
# MnTlB2F8

A geometry-optimized MnTlB2F8 structure (PBE+U, the Alexandria database).

Results
DFT total energy: -5.6382 eV/atom
mass density: 3.7 g/cm3

Geometry as CIF:
```
data_MnTlB2F8
_chemical_formula_sum 'Mn3 Tl3 B6 F24'
_cell_length_a 5.3551
_cell_length_b 5.3551
_cell_length_c 23.4774
_cell_angle_alpha 90.00
_cell_angle_beta 90.00
_cell_angle_gamma 120.00
_space_group_name_H-M_alt 'R -3'
_space_group_IT_number 148
_space_group_name_Hall '-R 3'
loop_
_atom_site_label
_atom_site_fract_x
_atom_site_fract_y
_atom_site_fract_z
Mn1 0.0000 0.0000 0.0000
Tl1 0.0000 0.0000 0.5000
B1 0.0000 0.0000 0.2480
F1 0.0000 0.0000 0.1877
F2 0.0295 0.7652 0.2680
```



3.
# B2MoF8

A geometry-optimized B2MoF8 structure (PBE+U, the Alexandria database).

Results
N(E_F): 0.00 states/eV/f.u.
DFT total energy: -5.7120 eV/atom
mass density: 2.8 g/cm3

Geometry as CIF:
```
data_B2MoF8
_chemical_formula_sum 'B4 Mo2 F16'
_cell_length_a 8.684
_cell_length_b 7.559
_cell_length_c 4.985
_cell_angle_alpha 90.00
_cell_angle_beta 99.12
_cell_angle_gamma 90.00
_space_group_name_H-M_alt 'C 1 2/m 1'
_space_group_IT_number 12
loop_
_space_group_symop_operation_xyz
'x,y,z'
'-x,-y,-z'
'-x,y,-z'
'x,-y,z'
'x+1/2,y+1/2,z'
'-x+1/2,-y+1/2,-z'
'-x+1/2,y+1/2,-z'
'x+1/2,-y+1/2,z'
loop_
_atom_site_label
_atom_site_fract_x
_atom_site_fract_y
_atom_site_fract_z
B1 0.232 0.000 0.146
Mo1 0.000 0.000 0.500
F1 0.112 0.500 0.769
F2 0.154 0.150 0.247
F3 0.195 0.000 0.855
```



4.
# B3MoF

A geometry-optimized B3MoF structure (PBE+U, the Alexandria database).

Results
N(E_F): 2.65 states/eV/f.u.
DFT total energy: -4.2210 eV/atom
distance to the lowest polymorph of the same formula: 0 kJ/mol of formula units
mass density: 5.2 g/cm3

Geometry as CIF:
```
data_B3MoF
_chemical_formula_sum 'B3 Mo1 F1'
_cell_length_a 3.619
_cell_length_b 3.619
_cell_length_c 3.619
_cell_angle_alpha 90.00
_cell_angle_beta 90.00
_cell_angle_gamma 90.00
_space_group_name_H-M_alt 'P m -3 m'
_space_group_IT_number 221
_space_group_name_Hall '-P 4 2 3'
loop_
_atom_site_label
_atom_site_fract_x
_atom_site_fract_y
_atom_site_fract_z
B1 0.000 0.000 0.500
Mo1 0.500 0.500 0.500
F1 0.000 0.000 0.000
```



5.
# B3MoF

A geometry-optimized B3MoF structure (PBE+U, the Alexandria database).

Results
N(E_F): 5.09 states/eV/f.u.
DFT total energy: -4.0923 eV/atom
distance to the lowest polymorph of the same formula: 62 kJ/mol of formula units
mass density: 3.1 g/cm3

Geometry as CIF:
```
data_B3MoF
_chemical_formula_sum 'B3 Mo1 F1'
_cell_length_a 4.294
_cell_length_b 4.294
_cell_length_c 4.294
_cell_angle_alpha 90.00
_cell_angle_beta 90.00
_cell_angle_gamma 90.00
_space_group_name_H-M_alt 'P m -3 m'
_space_group_IT_number 221
_space_group_name_Hall '-P 4 2 3'
loop_
_atom_site_label
_atom_site_fract_x
_atom_site_fract_y
_atom_site_fract_z
B1 0.000 0.000 0.500
Mo1 0.000 0.000 0.000
F1 0.500 0.500 0.500
```



6.
# BMoNF2

A geometry-optimized BMoNF2 structure (PBE+U, the Alexandria database).

Results
N(E_F): 1.23 states/eV/f.u.
DFT total energy: -5.2816 eV/atom
distance to the lowest polymorph of the same formula: 0 kJ/mol of formula units
mass density: 4.3 g/cm3

Geometry as CIF:
```
data_BMoNF2
_chemical_formula_sum 'B1 Mo1 N1 F2'
_cell_length_a 3.117
_cell_length_b 3.117
_cell_length_c 6.383
_cell_angle_alpha 90.00
_cell_angle_beta 90.00
_cell_angle_gamma 90.00
_space_group_name_H-M_alt 'P 4/m m m'
_space_group_IT_number 123
_space_group_name_Hall '-P 4 2'
loop_
_atom_site_label
_atom_site_fract_x
_atom_site_fract_y
_atom_site_fract_z
B1 0.000 0.000 0.000
Mo1 0.500 0.500 0.500
N1 0.000 0.000 0.500
F1 0.000 0.500 0.000
```



7.
# BMoN2F

A geometry-optimized BMoN2F structure (PBE+U, the Alexandria database).

Results
N(E_F): 0.19 states/eV/f.u.
DFT total energy: -6.1135 eV/atom
distance to the lowest polymorph of the same formula: 0 kJ/mol of formula units
mass density: 6.2 g/cm3

Geometry as CIF:
```
data_BMoN2F
_chemical_formula_sum 'B1 Mo1 N2 F1'
_cell_length_a 3.606
_cell_length_b 3.606
_cell_length_c 3.191
_cell_angle_alpha 90.00
_cell_angle_beta 90.00
_cell_angle_gamma 90.00
_space_group_name_H-M_alt 'P 4/m m m'
_space_group_IT_number 123
_space_group_name_Hall '-P 4 2'
loop_
_atom_site_label
_atom_site_fract_x
_atom_site_fract_y
_atom_site_fract_z
B1 0.000 0.000 0.000
Mo1 0.500 0.500 0.500
N1 0.000 0.500 0.000
F1 0.000 0.000 0.500
```



8.
# BMoN2F

A geometry-optimized BMoN2F structure (PBE+U, the Alexandria database).

Results
N(E_F): 1.74 states/eV/f.u.
DFT total energy: -5.5196 eV/atom
distance to the lowest polymorph of the same formula: 287 kJ/mol of formula units
mass density: 3.9 g/cm3

Geometry as CIF:
```
data_BMoN2F
_chemical_formula_sum 'B1 Mo1 N2 F1'
_cell_length_a 3.968
_cell_length_b 3.968
_cell_length_c 4.153
_cell_angle_alpha 90.00
_cell_angle_beta 90.00
_cell_angle_gamma 90.00
_space_group_name_H-M_alt 'P 4/m m m'
_space_group_IT_number 123
_space_group_name_Hall '-P 4 2'
loop_
_atom_site_label
_atom_site_fract_x
_atom_site_fract_y
_atom_site_fract_z
B1 0.000 0.000 0.000
Mo1 0.500 0.500 0.500
N1 0.000 0.500 0.500
F1 0.500 0.500 0.000
```



9.
# BMoNF2

A geometry-optimized BMoNF2 structure (PBE+U, the Alexandria database).

Results
N(E_F): 1.24 states/eV/f.u.
DFT total energy: -5.1533 eV/atom
distance to the lowest polymorph of the same formula: 62 kJ/mol of formula units
mass density: 3.7 g/cm3

Geometry as CIF:
```
data_BMoNF2
_chemical_formula_sum 'B1 Mo1 N1 F2'
_cell_length_a 4.208
_cell_length_b 4.208
_cell_length_c 3.982
_cell_angle_alpha 90.00
_cell_angle_beta 90.00
_cell_angle_gamma 90.00
_space_group_name_H-M_alt 'P 4/m m m'
_space_group_IT_number 123
_space_group_name_Hall '-P 4 2'
loop_
_atom_site_label
_atom_site_fract_x
_atom_site_fract_y
_atom_site_fract_z
B1 0.000 0.000 0.000
Mo1 0.500 0.500 0.500
N1 0.500 0.500 0.000
F1 0.000 0.500 0.500
```



10.
# NiBMo2F

A geometry-optimized NiBMo2F structure (PBE+U, the Alexandria database).

Results
N(E_F): 3.04 states/eV/f.u.
DFT total energy: -3.9167 eV/atom
mass density: 6.1 g/cm3

Geometry as CIF:
```
data_NiBMo2F
_chemical_formula_sum 'Ni1 B1 Mo2 F1'
_cell_length_a 4.544
_cell_length_b 4.544
_cell_length_c 3.720
_cell_angle_alpha 90.00
_cell_angle_beta 90.00
_cell_angle_gamma 90.00
_space_group_name_H-M_alt 'P 4/m m m'
_space_group_IT_number 123
_space_group_name_Hall '-P 4 2'
loop_
_atom_site_label
_atom_site_fract_x
_atom_site_fract_y
_atom_site_fract_z
Ni1 0.000 0.000 0.000
B1 0.500 0.500 0.500
Mo1 0.000 0.500 0.500
F1 0.500 0.500 0.000
```



11.
# BMoOF2

A geometry-optimized BMoOF2 structure (PBE+U, the Alexandria database).

Results
N(E_F): 1.00 states/eV/f.u.
DFT total energy: -5.4301 eV/atom
distance to the lowest polymorph of the same formula: 0 kJ/mol of formula units
mass density: 4.8 g/cm3

Geometry as CIF:
```
data_BMoOF2
_chemical_formula_sum 'B1 Mo1 O1 F2'
_cell_length_a 4.531
_cell_length_b 4.531
_cell_length_c 2.731
_cell_angle_alpha 90.00
_cell_angle_beta 90.00
_cell_angle_gamma 90.00
_space_group_name_H-M_alt 'P 4/m m m'
_space_group_IT_number 123
_space_group_name_Hall '-P 4 2'
loop_
_atom_site_label
_atom_site_fract_x
_atom_site_fract_y
_atom_site_fract_z
B1 0.000 0.000 0.000
Mo1 0.500 0.500 0.500
O1 0.000 0.000 0.500
F1 0.000 0.500 0.000
```



12.
# BMoOF2

A geometry-optimized BMoOF2 structure (PBE+U, the Alexandria database).

Results
N(E_F): 1.27 states/eV/f.u.
DFT total energy: -5.1233 eV/atom
distance to the lowest polymorph of the same formula: 148 kJ/mol of formula units
mass density: 3.7 g/cm3

Geometry as CIF:
```
data_BMoOF2
_chemical_formula_sum 'B1 Mo1 O1 F2'
_cell_length_a 4.208
_cell_length_b 4.208
_cell_length_c 4.083
_cell_angle_alpha 90.00
_cell_angle_beta 90.00
_cell_angle_gamma 90.00
_space_group_name_H-M_alt 'P 4/m m m'
_space_group_IT_number 123
_space_group_name_Hall '-P 4 2'
loop_
_atom_site_label
_atom_site_fract_x
_atom_site_fract_y
_atom_site_fract_z
B1 0.000 0.000 0.000
Mo1 0.500 0.500 0.500
O1 0.500 0.500 0.000
F1 0.000 0.500 0.500
```



13.
# BMo2OF

A geometry-optimized BMo2OF structure (PBE+U, the Alexandria database).

Results
N(E_F): 2.90 states/eV/f.u.
DFT total energy: -4.8842 eV/atom
mass density: 5.8 g/cm3

Geometry as CIF:
```
data_BMo2OF
_chemical_formula_sum 'B1 Mo2 O1 F1'
_cell_length_a 4.191
_cell_length_b 4.191
_cell_length_c 3.894
_cell_angle_alpha 90.00
_cell_angle_beta 90.00
_cell_angle_gamma 90.00
_space_group_name_H-M_alt 'P 4/m m m'
_space_group_IT_number 123
_space_group_name_Hall '-P 4 2'
loop_
_atom_site_label
_atom_site_fract_x
_atom_site_fract_y
_atom_site_fract_z
B1 0.000 0.000 0.000
Mo1 0.000 0.500 0.500
O1 0.500 0.500 0.500
F1 0.500 0.500 0.000
```



14.
# BMoO2F

A geometry-optimized BMoO2F structure (PBE+U, the Alexandria database).

Results
N(E_F): 0.90 states/eV/f.u.
DFT total energy: -5.5593 eV/atom
mass density: 3.9 g/cm3

Geometry as CIF:
```
data_BMoO2F
_chemical_formula_sum 'B1 Mo1 O2 F1'
_cell_length_a 4.003
_cell_length_b 4.003
_cell_length_c 4.165
_cell_angle_alpha 90.00
_cell_angle_beta 90.00
_cell_angle_gamma 90.00
_space_group_name_H-M_alt 'P 4/m m m'
_space_group_IT_number 123
_space_group_name_Hall '-P 4 2'
loop_
_atom_site_label
_atom_site_fract_x
_atom_site_fract_y
_atom_site_fract_z
B1 0.000 0.000 0.000
Mo1 0.500 0.500 0.500
O1 0.000 0.500 0.500
F1 0.500 0.500 0.000
```



15.
# BMoO2F

A geometry-optimized BMoO2F structure (PBE+U, the Alexandria database).

Results
N(E_F): 1.11 states/eV/f.u.
DFT total energy: -5.7553 eV/atom
mass density: 5.8 g/cm3

Geometry as CIF:
```
data_BMoO2F
_chemical_formula_sum 'B1 Mo1 O2 F1'
_cell_length_a 3.563
_cell_length_b 3.563
_cell_length_c 3.566
_cell_angle_alpha 90.00
_cell_angle_beta 90.00
_cell_angle_gamma 90.00
_space_group_name_H-M_alt 'P 4/m m m'
_space_group_IT_number 123
_space_group_name_Hall '-P 4 2'
loop_
_atom_site_label
_atom_site_fract_x
_atom_site_fract_y
_atom_site_fract_z
B1 0.000 0.000 0.000
Mo1 0.500 0.500 0.500
O1 0.000 0.500 0.000
F1 0.000 0.000 0.500
```



16.
# BMo2OsF

A geometry-optimized BMo2OsF structure (PBE+U, the Alexandria database).

Results
N(E_F): 2.49 states/eV/f.u.
DFT total energy: -5.7068 eV/atom
mass density: 10.1 g/cm3

Geometry as CIF:
```
data_BMo2OsF
_chemical_formula_sum 'B1 Mo2 Os1 F1'
_cell_length_a 4.526
_cell_length_b 4.526
_cell_length_c 3.314
_cell_angle_alpha 90.00
_cell_angle_beta 90.00
_cell_angle_gamma 90.00
_space_group_name_H-M_alt 'P 4/m m m'
_space_group_IT_number 123
_space_group_name_Hall '-P 4 2'
loop_
_atom_site_label
_atom_site_fract_x
_atom_site_fract_y
_atom_site_fract_z
B1 0.000 0.000 0.000
Mo1 0.000 0.500 0.000
Os1 0.500 0.500 0.500
F1 0.000 0.000 0.500
```



17.
# ReBMoF2

A geometry-optimized ReBMoF2 structure (PBE+U, the Alexandria database).

Results
N(E_F): 2.58 states/eV/f.u.
DFT total energy: -5.6794 eV/atom
mass density: 6.8 g/cm3

Geometry as CIF:
```
data_ReBMoF2
_chemical_formula_sum 'Re1 B1 Mo1 F2'
_cell_length_a 3.848
_cell_length_b 3.848
_cell_length_c 5.426
_cell_angle_alpha 90.00
_cell_angle_beta 90.00
_cell_angle_gamma 90.00
_space_group_name_H-M_alt 'P 4/m m m'
_space_group_IT_number 123
_space_group_name_Hall '-P 4 2'
loop_
_atom_site_label
_atom_site_fract_x
_atom_site_fract_y
_atom_site_fract_z
Re1 0.000 0.000 0.000
B1 0.500 0.500 0.000
Mo1 0.000 0.000 0.500
F1 0.000 0.500 0.500
```



18.
# Sn2BMoF

A geometry-optimized Sn2BMoF structure (PBE+U, the Alexandria database).

Results
N(E_F): 2.05 states/eV/f.u.
DFT total energy: -4.2664 eV/atom
mass density: 5.2 g/cm3

Geometry as CIF:
```
data_Sn2BMoF
_chemical_formula_sum 'Sn2 B1 Mo1 F1'
_cell_length_a 5.280
_cell_length_b 5.280
_cell_length_c 4.137
_cell_angle_alpha 90.00
_cell_angle_beta 90.00
_cell_angle_gamma 90.00
_space_group_name_H-M_alt 'P 4/m m m'
_space_group_IT_number 123
_space_group_name_Hall '-P 4 2'
loop_
_atom_site_label
_atom_site_fract_x
_atom_site_fract_y
_atom_site_fract_z
Sn1 0.000 0.500 0.000
B1 0.000 0.000 0.500
Mo1 0.000 0.000 0.000
F1 0.500 0.500 0.500
```



19.
# TlB2MoF8

A geometry-optimized TlB2MoF8 structure (PBE+U, the Alexandria database).

Results
DFT total energy: -5.5016 eV/atom
mass density: 4.1 g/cm3

Geometry as CIF:
```
data_TlB2MoF8
_chemical_formula_sum 'Tl3 B6 Mo3 F24'
_cell_length_a 5.3892
_cell_length_b 5.3892
_cell_length_c 23.1501
_cell_angle_alpha 90.00
_cell_angle_beta 90.00
_cell_angle_gamma 120.00
_space_group_name_H-M_alt 'R -3'
_space_group_IT_number 148
_space_group_name_Hall '-R 3'
loop_
_atom_site_label
_atom_site_fract_x
_atom_site_fract_y
_atom_site_fract_z
Tl1 0.0000 0.0000 0.0000
B1 0.0000 0.0000 0.2522
Mo1 0.0000 0.0000 0.5000
F1 0.0000 0.0000 0.3134
F2 0.0512 0.2703 0.7681
```



20.
# YBMoF2

A geometry-optimized YBMoF2 structure (PBE+U, the Alexandria database).

Results
N(E_F): 3.81 states/eV/f.u.
DFT total energy: -5.2522 eV/atom
mass density: 3.3 g/cm3

Geometry as CIF:
```
data_YBMoF2
_chemical_formula_sum 'Y1 B1 Mo1 F2'
_cell_length_a 4.045
_cell_length_b 4.045
_cell_length_c 7.179
_cell_angle_alpha 90.00
_cell_angle_beta 90.00
_cell_angle_gamma 90.00
_space_group_name_H-M_alt 'P 4/m m m'
_space_group_IT_number 123
_space_group_name_Hall '-P 4 2'
loop_
_atom_site_label
_atom_site_fract_x
_atom_site_fract_y
_atom_site_fract_z
Y1 0.000 0.000 0.000
B1 0.500 0.500 0.000
Mo1 0.000 0.000 0.500
F1 0.000 0.500 0.500
```